Compound: HoErSn
Source: Alexandria
Functional: PBE
Structure: relaxed

abc: 12.407 9.626 8.587
angles: 85.68 50.68 43.64
Element x y z (fractional)
Ho 0.094 0.094 0.906
Ho 0.179 0.821 0.179
Ho 0.821 0.179 0.821
Ho 0.906 0.906 0.094
Er 0.008 0.369 0.631
Er 0.369 0.008 0.992
Er 0.631 0.992 0.008
Er 0.992 0.631 0.369
Sn 0.262 0.531 0.469
Sn 0.469 0.738 0.262
Sn 0.531 0.262 0.738
Sn 0.738 0.469 0.531

- E above lowest polymorph: 334 meV/atom
- D(E_F): 0.7900 states/eV/atom
- Magnetization: 0.0000 μB/atom
- Formation energy: -248 meV per atom
- VASP energy: -13.89 eV/f.u.

Compound: CoBi2Rh
Source: Alexandria
Functional: PBE
Structure: relaxed

abc: 7.025 7.025 7.025
angles: 127.57 127.57 77.32
Element x y z (fractional)
Co 0.000 0.000 0.000
Co 0.750 0.250 0.500
Bi 0.108 0.625 0.983
Bi 0.375 0.358 0.483
Bi 0.642 0.125 0.017
Bi 0.875 0.892 0.517
Rh 0.250 0.750 0.500
Rh 0.500 0.500 0.000

- E above lowest polymorph: 221 meV/atom
- D(E_F): 1.1206 states/eV/atom
- Magnetization: 0.0000 μB/atom
- Formation energy: 497 meV per atom
- VASP energy: -20.23 eV/f.u.

Compound: Mg8CdPb5
Source: Alexandria
Functional: PBE
Structure: relaxed

abc: 7.789 7.789 7.789
angles: 110.56 110.56 107.31
Element x y z (fractional)
Mg 0.093 0.671 0.745
Mg 0.166 0.266 0.751
Mg 0.329 0.073 0.422
Mg 0.515 0.415 0.249
Mg 0.585 0.834 0.100
Mg 0.652 0.907 0.578
Mg 0.734 0.485 0.900
Mg 0.927 0.348 0.255
Cd 0.750 0.250 0.500
Pb 0.000 0.000 0.000
Pb 0.199 0.603 0.134
Pb 0.397 0.532 0.597
Pb 0.468 0.065 0.866
Pb 0.935 0.801 0.403

- D(E_F): 0.3330 states/eV/atom
- Magnetization: 0.0000 μB/atom
- Formation energy: -13 meV per atom
- VASP energy: -32.40 eV/f.u.

Compound: Ge2TeS
Source: Alexandria
Functional: PBE
Structure: relaxed

abc: 7.353 7.353 7.353
angles: 38.53 38.53 38.53
Element x y z (fractional)
Ge 0.111 0.111 0.111
Ge 0.889 0.889 0.889
Te 0.500 0.500 0.500
S 0.000 0.000 0.000

- E above lowest polymorph: 275 meV/atom
- D(E_F): 0.3067 states/eV/atom
- Magnetization: 0.0000 μB/atom
- Energy relative to the elements, uncorrected: 0.1485 eV/atom
- VASP energy: -15.91 eV/f.u.

Q: Number 3 is which compound?
A: Mg8CdPb5